# LiCoH3, optimized geometry, DFT PBE
data_LiCoH3
_chemical_formula_sum 'Li8 Co8 H24'
_cell_length_a 6.769
_cell_length_b 8.836
_cell_length_c 5.025
_cell_angle_alpha 90.00
_cell_angle_beta 97.28
_cell_angle_gamma 90.00
_symmetry_space_group_name_H-M 'C 1 2/c 1'
_symmetry_Int_Tables_number 15
loop_
_symmetry_equiv_pos_as_xyz
'x,y,z'
'-x,-y,-z'
'-x,y,-z+1/2'
'x,-y,z+1/2'
'x+1/2,y+1/2,z'
'-x+1/2,-y+1/2,-z'
'-x+1/2,y+1/2,-z+1/2'
'x+1/2,-y+1/2,z+1/2'
loop_
_atom_site_label
_atom_site_fract_x
_atom_site_fract_y
_atom_site_fract_z
Li1 0.000 0.072 0.250
Li2 0.000 0.262 0.750
Co1 0.161 0.462 0.410
H1 0.087 0.395 0.101
H2 0.126 0.096 0.599
H3 0.217 0.399 0.712
# Energy: -158.11 eV per cell